Entry 1:
Below is a relaxed LuMgSnTe3 crystal, with properties calculated at the PBE-GGA level.

POSCAR file:
```
LuMgSnTe3
1.0
2.1891 -7.3025 0.0000
2.1891 7.3025 0.0000
0.0000 0.0000 11.2508
Lu Mg Sn Te
2 2 2 6
Direct
0.0000 0.0000 0.0000 Lu
0.0000 0.0000 0.5000 Lu
0.4735 0.5265 0.7500 Mg
0.5265 0.4735 0.2500 Mg
0.2053 0.7947 0.2500 Sn
0.7947 0.2053 0.7500 Sn
0.0941 0.9059 0.7500 Te
0.3574 0.6426 0.5479 Te
0.3574 0.6426 0.9521 Te
0.6426 0.3574 0.0479 Te
0.6426 0.3574 0.4521 Te
0.9059 0.0941 0.2500 Te
```

The calculation puts the calculated total energy at -3.96 eV/atom.

***

Entry 2:
Below is a relaxed KTmPO crystal, with properties calculated at the PBE-GGA level.

POSCAR file:
```
KTmPO
1.0
3.3830 0.0000 0.0000
0.0000 7.6887 0.0000
0.0000 0.0000 7.5335
K Tm P O
2 2 2 2
Direct
0.0000 0.0506 0.0000 K
0.0000 0.9494 0.5000 K
0.5000 0.3736 0.3631 Tm
0.5000 0.6264 0.8631 Tm
0.5000 0.2984 0.7213 P
0.5000 0.7016 0.2213 P
0.0000 0.2406 0.2853 O
0.0000 0.7594 0.7853 O
```

The value obtained for the energy above the most stable polymorph in this dataset is 0.0 kJ/mol of atoms.